A relaxed RbGaMoF6 crystal. Source: the Alexandria database, functional PBE+U.

a = 5.674 Å, b = 5.681 Å, c = 5.923 Å
α = 89.99°, β = 89.90°, γ = 60.09°
Positions (direct):
Rb1 0.000 0.000 0.000
Ga1 0.666 0.666 0.500
Mo1 0.333 0.333 0.500
F1 0.389 0.962 0.322
F2 0.392 0.644 0.681
F3 0.644 0.393 0.319
F4 0.647 0.954 0.685
F5 0.954 0.649 0.316
F6 0.962 0.389 0.678

## Properties
M_tot: 2.0 μB/cell
raw total energy: -4.88 eV per atom
theoretical density: 3.7 g/cm³